No. 1
The following is a DFT calculation (PBE-GGA) of crystalline AgTeW2 at its relaxed geometry.

Raw formation energy, meV/atom: 950
Spin magnetization, μB/cell: 0.00
Uncorrected energy, Ha/atom: -0.2582

Unit cell a=3.219 b=3.219 c=6.791 alpha=90.00 beta=90.00 gamma=90.00
Element x y z (fractional)
W1 0.000 0.000 0.503
Te1 0.500 0.500 0.750
Ag1 0.500 0.500 0.250
W2 0.000 0.000 0.997


No. 2
The following is a DFT calculation (PBE-GGA) of crystalline Ag2TeW at its relaxed geometry.

Raw formation energy, meV/atom: 772
Spin magnetization, μB/cell: 0.00
Uncorrected energy, Ha/atom: -0.1719

Unit cell a=5.248 b=5.748 c=2.977 alpha=81.05 beta=76.93 gamma=113.45
Element x y z (fractional)
W1 0.500 0.500 0.000
Ag1 0.500 0.000 0.500
Ag2 0.000 0.000 0.000
Te1 0.000 0.500 0.500


No. 3
The following is a DFT calculation (PBE-GGA) of crystalline AgTeW2 at its relaxed geometry.

Raw formation energy, meV/atom: 581
Spin magnetization, μB/cell: 0.00
Uncorrected energy, Ha/atom: -0.2717

Unit cell a=2.943 b=2.943 c=9.812 alpha=90.00 beta=90.00 gamma=111.98
Element x y z (fractional)
Te1 0.500 0.500 0.772
Ag1 0.000 0.000 0.470
W1 0.000 0.000 0.028
W2 0.500 0.500 0.230


Q: Which of these has the highest raw formation energy?
A: number 1


Q: Number 3 is which compound?
A: AgTeW2